Run w
First-principles (GGA-PBE) data for a geometry-optimized TbZn2Ni9 structure, as listed in Alexandria via LeMat-Bulk.

Unit cell a=8.230 b=8.230 c=8.230 alpha=34.03 beta=34.03 gamma=34.03
Atoms (fractional coordinates):
Tb 0.000 0.000 0.000
Zn 0.145 0.145 0.145
Zn 0.855 0.855 0.855
Ni 0.081 0.588 0.588
Ni 0.334 0.334 0.334
Ni 0.412 0.412 0.919
Ni 0.412 0.919 0.412
Ni 0.500 0.500 0.500
Ni 0.588 0.081 0.588
Ni 0.588 0.588 0.081
Ni 0.666 0.666 0.666
Ni 0.919 0.412 0.412

Results
**Symmetry**: No. 166

Run x
First-principles (GGA-PBE) data for a geometry-optimized TbZn2Ni9 structure, as listed in Alexandria via LeMat-Bulk.

Unit cell a=8.058 b=8.058 c=4.736 alpha=90.00 beta=90.00 gamma=90.00
Atoms (fractional coordinates):
Tb 0.000 0.000 0.000
Tb 0.500 0.500 0.000
Zn 0.118 0.382 0.000
Zn 0.382 0.882 0.000
Zn 0.618 0.118 0.000
Zn 0.882 0.618 0.000
Ni 0.000 0.500 0.500
Ni 0.064 0.209 0.500
Ni 0.179 0.679 0.242
Ni 0.179 0.679 0.758
Ni 0.209 0.936 0.500
Ni 0.291 0.436 0.500
Ni 0.321 0.179 0.242
Ni 0.321 0.179 0.758
Ni 0.436 0.709 0.500
Ni 0.500 0.000 0.500
Ni 0.564 0.291 0.500
Ni 0.679 0.821 0.242
Ni 0.679 0.821 0.758
Ni 0.709 0.564 0.500
Ni 0.791 0.064 0.500
Ni 0.821 0.321 0.242
Ni 0.821 0.321 0.758
Ni 0.936 0.791 0.500

Results
**Symmetry**: No. 127

Which of them is the most stable? Correct choice: run x.

Run w
First-principles (GGA-PBE) data for a geometry-optimized Tb12ZnNi6 structure, as listed in Alexandria via LeMat-Bulk.

Unit cell a=8.393 b=8.393 c=8.393 alpha=109.47 beta=109.47 gamma=109.47
Atoms (fractional coordinates):
Tb 0.116 0.302 0.814
Tb 0.186 0.488 0.302
Tb 0.186 0.884 0.698
Tb 0.302 0.186 0.488
Tb 0.302 0.814 0.116
Tb 0.488 0.302 0.186
Tb 0.512 0.698 0.814
Tb 0.698 0.186 0.884
Tb 0.698 0.814 0.512
Tb 0.814 0.116 0.302
Tb 0.814 0.512 0.698
Tb 0.884 0.698 0.186
Zn 0.000 0.000 0.000
Ni 0.124 0.500 0.624
Ni 0.376 0.876 0.500
Ni 0.500 0.376 0.876
Ni 0.500 0.624 0.124
Ni 0.624 0.124 0.500
Ni 0.876 0.500 0.376

Results
**Symmetry**: No. 204

Run x
First-principles (GGA-PBE) data for a geometry-optimized Tb12ZnNi6 structure, as listed in Alexandria via LeMat-Bulk.

Unit cell a=8.229 b=8.229 c=8.229 alpha=103.82 beta=103.82 gamma=103.82
Atoms (fractional coordinates):
Tb 0.074 0.922 0.670
Tb 0.078 0.330 0.926
Tb 0.169 0.553 0.407
Tb 0.330 0.926 0.078
Tb 0.407 0.169 0.553
Tb 0.447 0.593 0.831
Tb 0.553 0.407 0.169
Tb 0.593 0.831 0.447
Tb 0.670 0.074 0.922
Tb 0.831 0.447 0.593
Tb 0.922 0.670 0.074
Tb 0.926 0.078 0.330
Zn 0.000 0.000 0.000
Ni 0.146 0.318 0.617
Ni 0.318 0.617 0.146
Ni 0.383 0.854 0.682
Ni 0.617 0.146 0.318
Ni 0.682 0.383 0.854
Ni 0.854 0.682 0.383

Results
**Symmetry**: No. 148

Which of them is the most stable? Correct choice: run w.

Run w
First-principles (GGA-PBE) data for a geometry-optimized TbZnNi structure, as listed in Alexandria via LeMat-Bulk.

Unit cell a=12.343 b=3.801 c=7.024 alpha=90.00 beta=90.00 gamma=90.00
Atoms (fractional coordinates):
Tb 0.044 0.000 0.248
Tb 0.250 0.000 0.634
Tb 0.456 0.000 0.248
Tb 0.544 0.000 0.752
Tb 0.750 0.000 0.366
Tb 0.956 0.000 0.752
Zn 0.132 0.500 0.921
Zn 0.250 0.500 0.287
Zn 0.368 0.500 0.921
Zn 0.632 0.500 0.079
Zn 0.750 0.500 0.713
Zn 0.868 0.500 0.079
Ni 0.092 0.500 0.550
Ni 0.250 0.000 0.050
Ni 0.408 0.500 0.550
Ni 0.592 0.500 0.450
Ni 0.750 0.000 0.950
Ni 0.908 0.500 0.450

Results
**Symmetry**: No. 51

Run x
First-principles (GGA-PBE) data for a geometry-optimized TbZnNi structure, as listed in Alexandria via LeMat-Bulk.

Unit cell a=4.416 b=4.416 c=4.416 alpha=60.00 beta=60.00 gamma=60.00
Atoms (fractional coordinates):
Tb 0.000 0.000 0.000
Zn 0.500 0.500 0.500
Ni 0.250 0.250 0.250

Results
**Symmetry**: No. 216

Which of them is the most stable? Correct choice: run w.

Run w
First-principles (GGA-PBE) data for a geometry-optimized TbZnNi structure, as listed in Alexandria via LeMat-Bulk.

Unit cell a=6.812 b=3.979 c=7.980 alpha=90.00 beta=90.00 gamma=90.00
Atoms (fractional coordinates):
Tb 0.040 0.250 0.186
Tb 0.460 0.750 0.686
Tb 0.540 0.250 0.314
Tb 0.960 0.750 0.814
Zn 0.140 0.250 0.561
Zn 0.360 0.750 0.061
Zn 0.640 0.250 0.939
Zn 0.860 0.750 0.439
Ni 0.241 0.750 0.377
Ni 0.259 0.250 0.877
Ni 0.741 0.750 0.123
Ni 0.759 0.250 0.623

Results
**Symmetry**: No. 62

Run x
First-principles (GGA-PBE) data for a geometry-optimized TbZnNi structure, as listed in Alexandria via LeMat-Bulk.

Unit cell a=4.233 b=4.233 c=3.641 alpha=90.00 beta=90.00 gamma=120.00
Atoms (fractional coordinates):
Tb 0.000 0.000 0.000
Zn 0.667 0.333 0.500
Ni 0.333 0.667 0.500

Results
**Symmetry**: No. 187

Which of them is the most stable? Correct choice: run w.

Run w
First-principles (GGA-PBE) data for a geometry-optimized TbZnNi structure, as listed in Alexandria via LeMat-Bulk.

Unit cell a=7.052 b=7.052 c=3.775 alpha=90.00 beta=90.00 gamma=120.00
Atoms (fractional coordinates):
Tb 0.000 0.589 0.000
Tb 0.411 0.411 0.000
Tb 0.589 0.000 0.000
Zn 0.000 0.242 0.500
Zn 0.242 0.000 0.500
Zn 0.758 0.758 0.500
Ni 0.000 0.000 0.000
Ni 0.333 0.667 0.500
Ni 0.667 0.333 0.500

Results
**Symmetry**: No. 189

Run x
First-principles (GGA-PBE) data for a geometry-optimized TbZnNi structure, as listed in Alexandria via LeMat-Bulk.

Unit cell a=5.333 b=5.333 c=5.333 alpha=143.21 beta=143.21 gamma=53.00
Atoms (fractional coordinates):
Tb 0.000 0.000 0.000
Zn 0.702 0.702 0.000
Ni 0.320 0.320 0.000

Results
**Symmetry**: No. 107

Which of them is the most stable? Correct choice: run w.

Run w
First-principles (GGA-PBE) data for a geometry-optimized TbZn2Ni4 structure, as listed in Alexandria via LeMat-Bulk.

Unit cell a=5.077 b=5.077 c=4.979 alpha=119.26 beta=119.26 gamma=76.01
Atoms (fractional coordinates):
Tb 0.000 0.000 0.000
Zn 0.500 0.500 0.249
Zn 0.500 0.500 0.751
Ni 0.000 0.385 0.692
Ni 0.000 0.615 0.308
Ni 0.385 0.000 0.692
Ni 0.615 0.000 0.308

Results
**Symmetry**: No. 12

Run x
First-principles (GGA-PBE) data for a geometry-optimized TbZn2Ni4 structure, as listed in Alexandria via LeMat-Bulk.

Unit cell a=5.613 b=5.613 c=5.613 alpha=101.84 beta=101.84 gamma=126.13
Atoms (fractional coordinates):
Tb 0.000 0.000 0.000
Zn 0.250 0.750 0.500
Zn 0.750 0.250 0.500
Ni 0.278 0.500 0.778
Ni 0.500 0.278 0.778
Ni 0.500 0.722 0.222
Ni 0.722 0.500 0.222

Results
**Symmetry**: No. 139

Which of them is the most stable? Correct choice: run w.